! KBaScO3, optimized geometry, DFT PBE-GGA; values from VASP
! Energy relative to the elements, uncorrected   -2548 meV/atom
! Space group   No. 12
! N(E_F)   0.00 states/eV per cell
&SYSTEM
  ibrav = 0, nat = 12, ntyp = 4
/
ATOMIC_SPECIES
K 39.10 K.upf
Ba 137.33 Ba.upf
Sc 44.96 Sc.upf
O 16.00 O.upf
ATOMIC_POSITIONS crystal
K 0.1450 0.1450 0.0016
K 0.8550 0.8550 0.9984
Ba 0.1877 0.1877 0.6308
Ba 0.8123 0.8123 0.3692
Sc 0.4719 0.4719 0.7419
Sc 0.5281 0.5281 0.2581
O 0.0656 0.0656 0.1908
O 0.3665 0.3665 0.2054
O 0.3771 0.3771 0.5508
O 0.6229 0.6229 0.4492
O 0.6335 0.6335 0.7946
O 0.9344 0.9344 0.8092
CELL_PARAMETERS angstrom
6.5705 -1.8239 0.0000
6.5705 1.8239 0.0000
-4.0118 0.0000 9.8806

! KBa2Se2O6, optimized geometry, DFT PBE-GGA; values from VASP
! Energy relative to the elements, uncorrected   -1605 meV/atom
! Space group   No. 166
! N(E_F)   3.71 states/eV per cell
&SYSTEM
  ibrav = 0, nat = 11, ntyp = 4
/
ATOMIC_SPECIES
K 39.10 K.upf
Ba 137.33 Ba.upf
Se 78.96 Se.upf
O 16.00 O.upf
ATOMIC_POSITIONS crystal
K 0.0000 0.0000 0.0000
Ba 0.2091 0.2091 0.2091
Ba 0.7909 0.7909 0.7909
Se 0.3942 0.3942 0.3942
Se 0.6058 0.6058 0.6058
O 0.2569 0.7233 0.7233
O 0.2767 0.2767 0.7431
O 0.2767 0.7431 0.2767
O 0.7233 0.2569 0.7233
O 0.7233 0.7233 0.2569
O 0.7431 0.2767 0.2767
CELL_PARAMETERS angstrom
2.9284 1.6907 6.7851
-2.9284 1.6907 6.7851
0.0000 -3.3814 6.7851

! K3BaSe4O12, optimized geometry, DFT PBE-GGA; values from VASP
! Energy relative to the elements, uncorrected   -955 meV/atom
! Space group   No. 155
! N(E_F)   6.86 states/eV per cell
&SYSTEM
  ibrav = 0, nat = 20, ntyp = 4
/
ATOMIC_SPECIES
K 39.10 K.upf
Ba 137.33 Ba.upf
Se 78.96 Se.upf
O 16.00 O.upf
ATOMIC_POSITIONS crystal
K 0.0000 0.5457 0.4543
K 0.4543 0.0000 0.5457
K 0.5457 0.4543 0.0000
Ba 0.0000 0.0000 0.0000
Se 0.0527 0.5000 0.9473
Se 0.5000 0.5000 0.5000
Se 0.5000 0.9473 0.0527
Se 0.9473 0.0527 0.5000
O 0.0005 0.1747 0.3488
O 0.9995 0.6512 0.8253
O 0.0804 0.9196 0.5000
O 0.1747 0.3488 0.0005
O 0.3488 0.0005 0.1747
O 0.3653 0.6347 0.5000
O 0.5000 0.0804 0.9196
O 0.5000 0.3653 0.6347
O 0.6347 0.5000 0.3653
O 0.6512 0.8253 0.9995
O 0.8253 0.9995 0.6512
O 0.9196 0.5000 0.0804
CELL_PARAMETERS angstrom
6.2973 3.6357 3.2008
-6.2973 3.6357 3.2008
0.0000 -7.2715 3.2008

! KBaSe2O8, optimized geometry, DFT PBE-GGA; values from VASP
! Energy relative to the elements, uncorrected   -1229 meV/atom
! Space group   No. 148
! N(E_F)   14.54 states/eV per cell
&SYSTEM
  ibrav = 0, nat = 12, ntyp = 4
/
ATOMIC_SPECIES
K 39.10 K.upf
Ba 137.33 Ba.upf
Se 78.96 Se.upf
O 16.00 O.upf
ATOMIC_POSITIONS crystal
K 0.0000 0.0000 0.0000
Ba 0.5000 0.5000 0.5000
Se 0.2406 0.2406 0.2406
Se 0.7594 0.7594 0.7594
O 0.0474 0.5200 0.6415
O 0.1654 0.1654 0.1654
O 0.3585 0.9526 0.4800
O 0.4800 0.3585 0.9526
O 0.5200 0.6415 0.0474
O 0.6415 0.0474 0.5200
O 0.8346 0.8346 0.8346
O 0.9526 0.4800 0.3585
CELL_PARAMETERS angstrom
2.8813 1.6635 7.4867
-2.8813 1.6635 7.4867
0.0000 -3.3270 7.4867

! K4BaTa6Si4O26, optimized geometry, DFT PBE-GGA; values from VASP
! Energy relative to the elements, uncorrected   -2804 meV/atom
! Space group   No. 38
! N(E_F)   0.00 states/eV per cell
&SYSTEM
  ibrav = 0, nat = 41, ntyp = 5
/
ATOMIC_SPECIES
K 39.10 K.upf
Ba 137.33 Ba.upf
Ta 180.95 Ta.upf
Si 28.09 Si.upf
O 16.00 O.upf
ATOMIC_POSITIONS crystal
K 0.0000 0.1977 0.8023
K 0.0000 0.8023 0.1977
K 0.5000 0.1961 0.7931
K 0.5000 0.7931 0.1961
Ba 0.5000 0.5935 0.5935
Ta 0.2483 0.1951 0.4345
Ta 0.2483 0.4345 0.1951
Ta 0.2496 0.9610 0.9610
Ta 0.7504 0.9610 0.9610
Ta 0.7517 0.1951 0.4345
Ta 0.7517 0.4345 0.1951
Si 0.2082 0.5320 0.8596
Si 0.2082 0.8596 0.5320
Si 0.7918 0.5320 0.8596
Si 0.7918 0.8596 0.5320
O 0.0000 0.1957 0.4692
O 0.0000 0.4692 0.1957
O 0.0000 0.5332 0.8603
O 0.0000 0.8603 0.5332
O 0.0000 0.9308 0.9308
O 0.2337 0.0200 0.1979
O 0.2337 0.1979 0.0200
O 0.2405 0.3700 0.3700
O 0.2680 0.0142 0.5031
O 0.2680 0.5031 0.0142
O 0.2778 0.3805 0.6820
O 0.2778 0.6820 0.3805
O 0.2798 0.7113 0.8901
O 0.2798 0.8901 0.7113
O 0.5000 0.1979 0.4307
O 0.5000 0.4307 0.1979
O 0.5000 0.9701 0.9701
O 0.7202 0.7113 0.8901
O 0.7202 0.8901 0.7113
O 0.7222 0.3805 0.6820
O 0.7222 0.6820 0.3805
O 0.7320 0.0142 0.5031
O 0.7320 0.5031 0.0142
O 0.7595 0.3700 0.3700
O 0.7663 0.0200 0.1979
O 0.7663 0.1979 0.0200
CELL_PARAMETERS angstrom
7.8662 0.0000 0.0000
0.0000 7.9186 4.6076
0.0000 -7.9186 4.6076

! K2BaSnO, optimized geometry, DFT PBE-GGA; values from VASP
! Energy relative to the elements, uncorrected   227 meV/atom
! Space group   No. 123
! N(E_F)   10.74 states/eV per cell
&SYSTEM
  ibrav = 0, nat = 5, ntyp = 4
/
ATOMIC_SPECIES
K 39.10 K.upf
Ba 137.33 Ba.upf
Sn 118.71 Sn.upf
O 16.00 O.upf
ATOMIC_POSITIONS crystal
K 0.0000 0.5000 0.0000
K 0.5000 0.0000 0.0000
Ba 0.0000 0.0000 0.5000
Sn 0.0000 0.0000 0.0000
O 0.5000 0.5000 0.5000
CELL_PARAMETERS angstrom
6.5982 0.0000 0.0000
0.0000 6.5982 0.0000
0.0000 0.0000 6.4825

! K2BaSnO4, optimized geometry, DFT PBE-GGA; values from VASP
! Energy relative to the elements, uncorrected   -1717 meV/atom
! Space group   No. 74
&SYSTEM
  ibrav = 0, nat = 16, ntyp = 4
/
ATOMIC_SPECIES
K 39.10 K.upf
Ba 137.33 Ba.upf
Sn 118.71 Sn.upf
O 16.00 O.upf
ATOMIC_POSITIONS crystal
K 0.0000 0.0000 0.0000
K 0.5000 0.0000 0.0000
K 0.5000 0.0000 0.5000
K 0.5000 0.5000 0.5000
Ba 0.0000 0.5000 0.5000
Ba 0.5000 0.5000 0.0000
Sn 0.0000 0.0000 0.5000
Sn 0.0000 0.5000 0.0000
O 0.1905 0.1952 0.5047
O 0.1905 0.6858 0.9953
O 0.1966 0.7486 0.4480
O 0.1994 0.2514 0.9480
O 0.8006 0.7486 0.0520
O 0.8034 0.2514 0.5520
O 0.8095 0.3142 0.0047
O 0.8095 0.8048 0.4953
CELL_PARAMETERS angstrom
-3.5147 3.7646 5.4140
3.5147 -3.7646 5.4140
3.5147 3.7646 -5.4140

! KBa2SnO, optimized geometry, DFT PBE-GGA; values from VASP
! Energy relative to the elements, uncorrected   -1155 meV/atom
! Space group   No. 123
! N(E_F)   5.46 states/eV per cell
&SYSTEM
  ibrav = 0, nat = 5, ntyp = 4
/
ATOMIC_SPECIES
K 39.10 K.upf
Ba 137.33 Ba.upf
Sn 118.71 Sn.upf
O 16.00 O.upf
ATOMIC_POSITIONS crystal
K 0.0000 0.0000 0.0000
Ba 0.0000 0.5000 0.5000
Ba 0.5000 0.0000 0.5000
Sn 0.5000 0.5000 0.0000
O 0.0000 0.0000 0.5000
CELL_PARAMETERS angstrom
5.4862 0.0000 0.0000
0.0000 5.4862 0.0000
0.0000 0.0000 5.4315

! KBaSnO4, optimized geometry, DFT PBE-GGA; values from VASP
! Energy relative to the elements, uncorrected   -1764 meV/atom
! Space group   No. 63
! N(E_F)   5.91 states/eV per cell
&SYSTEM
  ibrav = 0, nat = 14, ntyp = 4
/
ATOMIC_SPECIES
K 39.10 K.upf
Ba 137.33 Ba.upf
Sn 118.71 Sn.upf
O 16.00 O.upf
ATOMIC_POSITIONS crystal
K 0.0994 0.9006 0.7500
K 0.9006 0.0994 0.2500
Ba 0.3946 0.6054 0.7500
Ba 0.6054 0.3946 0.2500
Sn 0.2553 0.7447 0.2500
Sn 0.7447 0.2553 0.7500
O 0.0000 0.5000 0.0000
O 0.0000 0.5000 0.5000
O 0.1032 0.8968 0.2500
O 0.4069 0.5931 0.2500
O 0.5000 0.0000 0.0000
O 0.5000 0.0000 0.5000
O 0.5931 0.4069 0.7500
O 0.8968 0.1032 0.7500
CELL_PARAMETERS angstrom
2.9747 -6.7344 0.0000
2.9747 6.7344 0.0000
0.0000 0.0000 6.0031

! KBaTaO4, optimized geometry, DFT PBE-GGA; values from VASP
! Energy relative to the elements, uncorrected   -2706 meV/atom
! Space group   No. 107
! N(E_F)   0.00 states/eV per cell
&SYSTEM
  ibrav = 0, nat = 7, ntyp = 4
/
ATOMIC_SPECIES
K 39.10 K.upf
Ba 137.33 Ba.upf
Ta 180.95 Ta.upf
O 16.00 O.upf
ATOMIC_POSITIONS crystal
K 0.0000 0.0000 0.0000
Ba 0.3049 0.3049 0.0000
Ta 0.6457 0.6457 0.0000
O 0.1537 0.6537 0.5000
O 0.5049 0.5049 0.0000
O 0.6537 0.1537 0.5000
O 0.7969 0.7969 0.0000
CELL_PARAMETERS angstrom
-2.0296 2.0296 6.8277
2.0296 -2.0296 6.8277
2.0296 2.0296 -6.8277

! K3Ba2TaO6, optimized geometry, DFT PBE-GGA; values from VASP
! Energy relative to the elements, uncorrected   -2300 meV/atom
! Space group   No. 12
! N(E_F)   0.00 states/eV per cell
&SYSTEM
  ibrav = 0, nat = 12, ntyp = 4
/
ATOMIC_SPECIES
K 39.10 K.upf
Ba 137.33 Ba.upf
Ta 180.95 Ta.upf
O 16.00 O.upf
ATOMIC_POSITIONS crystal
K 0.0000 0.0000 0.0000
K 0.3481 0.6519 0.0000
K 0.6519 0.3481 0.0000
Ba 0.1678 0.8322 0.5000
Ba 0.8322 0.1678 0.5000
Ta 0.5000 0.5000 0.5000
O 0.1773 0.4368 0.3088
O 0.2979 0.2979 0.6854
O 0.4368 0.1773 0.3088
O 0.5632 0.8227 0.6912
O 0.7021 0.7021 0.3146
O 0.8227 0.5632 0.6912
CELL_PARAMETERS angstrom
3.2227 -5.6293 0.0000
3.2227 5.6293 0.0000
-2.1521 0.0000 6.1895

! K2BaTaO4, optimized geometry, DFT PBE-GGA; values from VASP
! Energy relative to the elements, uncorrected   -2224 meV/atom
! Space group   No. 82
! N(E_F)   2.27 states/eV per cell
&SYSTEM
  ibrav = 0, nat = 8, ntyp = 4
/
ATOMIC_SPECIES
K 39.10 K.upf
Ba 137.33 Ba.upf
Ta 180.95 Ta.upf
O 16.00 O.upf
ATOMIC_POSITIONS crystal
K 0.0000 0.0000 0.0000
K 0.7500 0.2500 0.5000
Ba 0.5000 0.5000 0.0000
Ta 0.2500 0.7500 0.5000
O 0.1499 0.6297 0.1050
O 0.3703 0.4753 0.5202
O 0.5247 0.0449 0.8950
O 0.9551 0.8501 0.4798
CELL_PARAMETERS angstrom
-3.1534 3.1534 4.3785
3.1534 -3.1534 4.3785
3.1534 3.1534 -4.3785

Among the records above, which one has the lowest energy relative to the elements, uncorrected?
K4BaTa6Si4O26

Which of these has the highest energy relative to the elements, uncorrected?
K2BaSnO

The lowest energy relative to the elements, uncorrected belongs to which entry?
K4BaTa6Si4O26